Here is a geometry-optimized Y2Tm7Th structure from Alexandria. Energies are from PBE.

```
Y2Tm7Th
1.0
4.2200 -8.8901 0.0000
4.2200 8.8901 0.0000
0.0000 0.0000 5.0147
Y Tm Th
2 7 1
Cartesian
4.2200 5.2728 0.0000
4.2200 -5.2728 0.0000
0.0000 0.0000 0.0000
2.6989 1.8239 0.0000
4.2200 3.3661 2.5073
2.6989 -1.8239 0.0000
5.7412 1.8239 0.0000
4.2200 -3.3661 2.5073
5.7412 -1.8239 0.0000
4.2200 0.0000 2.5073
```

density of states at the Fermi level = 16.7 states/eV/f.u.
total energy = -4.430 eV/atom
magnetization = 0.00 μB per formula unit
formation energy = 0.74 eV/atom

Here is a geometry-optimized Y6TmTh2 structure from Alexandria. Energies are from PBE.

```
Y6TmTh2
1.0
3.5815 0.0000 0.0000
-1.7907 3.1016 0.0000
0.0000 0.0000 26.2996
Y Tm Th
6 1 2
Cartesian
0.0000 0.0000 1.6707
0.0000 0.0000 7.4588
0.0000 0.0000 18.8408
0.0000 0.0000 24.6289
0.0000 2.0678 10.3311
0.0000 2.0678 15.9685
0.0000 0.0000 13.1498
0.0000 2.0678 4.5080
0.0000 2.0678 21.7916
```

density of states at the Fermi level = 18.9 states/eV/f.u.
total energy = -6.385 eV/atom
magnetization = 0.59 μB per formula unit
formation energy = 0.07 eV/atom
energy above the lowest structure with this stoichiometry = 0.000 eV per atom

Copy entry 2 word for word.
Here is a geometry-optimized Y6TmTh2 structure from Alexandria. Energies are from PBE.

```
Y6TmTh2
1.0
3.5815 0.0000 0.0000
-1.7907 3.1016 0.0000
0.0000 0.0000 26.2996
Y Tm Th
6 1 2
Cartesian
0.0000 0.0000 1.6707
0.0000 0.0000 7.4588
0.0000 0.0000 18.8408
0.0000 0.0000 24.6289
0.0000 2.0678 10.3311
0.0000 2.0678 15.9685
0.0000 0.0000 13.1498
0.0000 2.0678 4.5080
0.0000 2.0678 21.7916
```

density of states at the Fermi level = 18.9 states/eV/f.u.
total energy = -6.385 eV/atom
magnetization = 0.59 μB per formula unit
formation energy = 0.07 eV/atom
energy above the lowest structure with this stoichiometry = 0.000 eV per atom

- What is the density of states at the Fermi level in the first record?
  16.7 states/eV/f.u.

- Which of these has the lowest density of states at the Fermi level?
  Y2Tm7Th